No. 1
Computed, not measured: CoGe4Pt after structural relaxation at the PBE level of DFT.

Lattice parameters (Å, degrees): 5.412 5.687 7.765 111.63 110.56 89.60
Atoms (fractional coordinates):
Pt  0.551  0.801  0.103
Pt  0.449  0.199  0.897
Ge  0.500  0.851  0.593
Ge  0.890  0.126  0.126
Ge  0.093  0.241  0.593
Ge  0.764  0.500  0.874
Ge  0.236  0.500  0.126
Ge  0.907  0.759  0.407
Ge  0.110  0.874  0.874
Ge  0.500  0.149  0.407
Co  0.205  0.455  0.409
Co  0.795  0.545  0.591

Output
calculated volume = 17.2 Å³/atom
E = -5.46 eV per atom
total magnetic moment = 0.00 μB/cell

---

No. 2
Computed, not measured: CoGePt2 after structural relaxation at the PBE level of DFT.

Lattice parameters (Å, degrees): 3.832 3.832 9.080 77.82 77.82 90.00
Atoms (fractional coordinates):
Ge  0.750  0.250  0.500
Ge  0.000  0.000  0.000
Co  0.250  0.750  0.500
Co  0.500  0.500  0.000
Pt  0.620  0.125  0.250
Pt  0.875  0.870  0.750
Pt  0.375  0.380  0.750
Pt  0.130  0.625  0.250

Output
calculated volume = 15.9 Å³/atom
E = -5.89 eV per atom
total magnetic moment = 3.36 μB/cell

---

No. 3
Computed, not measured: CoGePt6 after structural relaxation at the PBE level of DFT.

Lattice parameters (Å, degrees): 4.702 4.702 6.391 104.66 104.66 108.20
Atoms (fractional coordinates):
Pt  0.619  0.119  0.238
Pt  0.881  0.381  0.762
Pt  0.257  0.257  0.513
Pt  0.743  0.743  0.487
Pt  0.381  0.881  0.762
Pt  0.119  0.619  0.238
Co  0.500  0.500  0.000
Ge  0.000  0.000  0.000

Output
calculated volume = 15.1 Å³/atom
E = -6.12 eV per atom
total magnetic moment = 2.73 μB/cell

---

No. 4
Computed, not measured: Co2GePt after structural relaxation at the PBE level of DFT.

Lattice parameters (Å, degrees): 3.614 3.614 9.196 78.67 78.67 90.00
Atoms (fractional coordinates):
Co  0.375  0.409  0.750
Co  0.591  0.125  0.250
Co  0.159  0.625  0.250
Co  0.875  0.841  0.750
Ge  0.500  0.500  0.000
Ge  0.250  0.750  0.500
Pt  0.000  0.000  0.000
Pt  0.750  0.250  0.500

Output
calculated volume = 14.4 Å³/atom
E = -6.01 eV per atom
total magnetic moment = 6.08 μB/cell

---

No. 5
Computed, not measured: CoGePt2 after structural relaxation at the PBE level of DFT.

Lattice parameters (Å, degrees): 4.350 4.350 4.350 60.00 60.00 60.00
Atoms (fractional coordinates):
Co  0.000  0.000  0.000
Pt  0.250  0.250  0.250
Pt  0.750  0.750  0.750
Ge  0.500  0.500  0.500

Output
calculated volume = 14.5 Å³/atom
E = -6.01 eV per atom
total magnetic moment = 1.56 μB/cell

---

No. 6
Computed, not measured: Co2GePt after structural relaxation at the PBE level of DFT.

Lattice parameters (Å, degrees): 4.198 4.198 4.198 60.00 60.00 60.00
Atoms (fractional coordinates):
Co  0.250  0.250  0.250
Co  0.750  0.750  0.750
Ge  0.000  0.000  0.000
Pt  0.500  0.500  0.500

Output
calculated volume = 13.1 Å³/atom
E = -6.25 eV per atom
total magnetic moment = 2.58 μB/cell

---

No. 7
Computed, not measured: CoGe6Pt2 after structural relaxation at the PBE level of DFT.

Lattice parameters (Å, degrees): 5.757 5.757 10.713 90.00 90.00 90.00
Atoms (fractional coordinates):
Co  0.000  0.000  0.500
Co  0.500  0.500  0.000
Pt  0.500  0.500  0.658
Pt  0.000  0.000  0.158
Pt  0.000  0.000  0.842
Pt  0.500  0.500  0.342
Ge  0.775  0.225  0.000
Ge  0.725  0.725  0.500
Ge  0.694  0.694  0.159
Ge  0.306  0.306  0.159
Ge  0.306  0.306  0.841
Ge  0.194  0.806  0.341
Ge  0.225  0.775  0.000
Ge  0.194  0.806  0.659
Ge  0.275  0.275  0.500
Ge  0.806  0.194  0.659
Ge  0.694  0.694  0.841
Ge  0.806  0.194  0.341

Output
calculated volume = 19.7 Å³/atom
E = -5.37 eV per atom
total magnetic moment = 0.00 μB/cell

---

No. 8
Computed, not measured: Co2GePt after structural relaxation at the PBE level of DFT.

Lattice parameters (Å, degrees): 3.649 3.724 3.724 90.00 90.00 90.00
Atoms (fractional coordinates):
Co  0.000  0.000  0.500
Co  0.000  0.500  0.000
Ge  0.500  0.000  0.000
Pt  0.500  0.500  0.500

Output
calculated volume = 12.6 Å³/atom
E = -6.34 eV per atom
total magnetic moment = 0.12 μB/cell

---

No. 9
Computed, not measured: CoGePt2 after structural relaxation at the PBE level of DFT.

Lattice parameters (Å, degrees): 3.831 3.856 3.856 90.00 90.00 90.00
Atoms (fractional coordinates):
Pt  0.000  0.500  0.000
Pt  0.000  0.000  0.500
Ge  0.500  0.500  0.500
Co  0.500  0.000  0.000

Output
calculated volume = 14.2 Å³/atom
E = -6.16 eV per atom
total magnetic moment = 1.04 μB/cell

---

No. 10
Computed, not measured: Co3GePt after structural relaxation at the PBE level of DFT.

Lattice parameters (Å, degrees): 4.265 4.265 4.265 90.00 90.00 90.00
Atoms (fractional coordinates):
Co  0.000  0.000  0.500
Co  0.500  0.000  0.000
Co  0.000  0.500  0.000
Pt  0.500  0.500  0.500
Ge  0.000  0.000  0.000

Output
calculated volume = 15.5 Å³/atom
E = -5.49 eV per atom
total magnetic moment = 4.36 μB/cell
relative energy among the computed polymorphs = 0.0 meV per atom

---

No. 11
Computed, not measured: Co2GePt after structural relaxation at the PBE level of DFT.

Lattice parameters (Å, degrees): 2.813 2.813 6.417 90.00 90.00 90.00
Atoms (fractional coordinates):
Co  0.000  0.000  0.219
Co  0.000  0.000  0.781
Ge  0.500  0.500  0.000
Pt  0.500  0.500  0.500

Output
calculated volume = 12.7 Å³/atom
E = -6.28 eV per atom
total magnetic moment = 1.81 μB/cell

---

No. 12
Computed, not measured: CoGe4Pt2 after structural relaxation at the PBE level of DFT.

Lattice parameters (Å, degrees): 3.383 6.299 6.267 64.12 89.97 74.38
Atoms (fractional coordinates):
Ge  0.918  0.165  0.571
Ge  0.082  0.835  0.429
Ge  0.368  0.264  0.041
Ge  0.632  0.736  0.959
Pt  0.258  0.484  0.303
Pt  0.742  0.516  0.697
Co  0.000  0.000  0.000

Output
calculated volume = 16.4 Å³/atom
E = -5.72 eV per atom
total magnetic moment = 0.00 μB/cell

---

In the order shown, the computed theoretical density values come out to 8.8 13.6 17.9 11.1 14.9 12.2 8.3 12.7 15.2 9.5 12.6 10.7 g/cm3.